(1)
VASP calculation (PBE) on a geometry-optimized Y15Er4Tl structure.

Properties
* DFT total energy: -5.893 eV per atom
* formation energy from the elements: -0.01 eV/atom

Cell: 4.9782 4.9782 25.2827 Å, 90.00 90.00 90.00°
Sites, in units of the cell vectors:
Y  0.5000  0.5000  0.8041
Y  0.0000  0.5000  0.2985
Y  0.5000  0.0000  0.0974
Y  0.5000  0.5000  0.6011
Y  0.0000  0.5000  0.9026
Y  0.5000  0.0000  0.7015
Y  0.0000  0.5000  0.7015
Y  0.5000  0.0000  0.2985
Y  0.5000  0.0000  0.9026
Y  0.5000  0.5000  0.3989
Y  0.5000  0.0000  0.5000
Y  0.0000  0.5000  0.0974
Y  0.0000  0.5000  0.5000
Y  0.5000  0.5000  0.1959
Y  0.5000  0.5000  0.0000
Er  0.0000  0.0000  0.3991
Er  0.0000  0.0000  0.6009
Er  0.0000  0.0000  0.1985
Er  0.0000  0.0000  0.8015
Tl  0.0000  0.0000  0.0000

---

(2)
VASP calculation (PBE) on a geometry-optimized Mn4AgSb structure.

Properties
* DFT total energy: -6.844 eV per atom
* formation energy (no corrections): 0.432 eV per atom

Cell: 5.0195 5.0195 5.0195 Å, 60.00 60.00 60.00°
Sites, in units of the cell vectors:
Mn  0.1257  0.6248  0.6248
Mn  0.6248  0.6248  0.6248
Mn  0.6248  0.1257  0.6248
Mn  0.6248  0.6248  0.1257
Ag  0.0000  0.0000  0.0000
Sb  0.2500  0.2500  0.2500

---

(3)
VASP calculation (PBE) on a geometry-optimized BePtPb2 structure.

Properties
* DFT total energy: -3.920 eV per atom
* formation energy from the elements: 0.38 eV/atom

Cell: 3.5790 3.5790 6.6232 Å, 90.00 90.00 90.00°
Sites, in units of the cell vectors:
Pb  0.0000  0.0000  0.9997
Pb  0.0000  0.0000  0.5003
Pt  0.5000  0.5000  0.2500
Be  0.5000  0.5000  0.7500

---

(4)
VASP calculation (PBE) on a geometry-optimized LiY2PbS structure.

Properties
* DFT total energy: -5.516 eV per atom
* energy above the lowest structure with this stoichiometry: 0.29 eV/f.u.
* formation energy (no corrections): -0.980 eV per atom

Cell: 5.2565 5.2565 4.5171 Å, 90.00 90.00 90.00°
Sites, in units of the cell vectors:
Pb  0.5000  0.5000  0.5000
Li  0.0000  0.0000  0.5000
Y  0.5000  0.0000  0.0000
Y  0.0000  0.5000  0.0000
S  0.0000  0.0000  0.0000

---

(5)
VASP calculation (PBE) on a geometry-optimized YZnTe2F structure.

Properties
* DFT total energy: -3.911 eV per atom
* formation energy (no corrections): -0.732 eV per atom

Cell: 5.5599 3.8857 5.5599 Å, 90.00 90.00 90.00°
Sites, in units of the cell vectors:
F  0.0000  0.0000  0.0000
Te  0.5000  0.0000  0.0000
Te  0.0000  0.0000  0.5000
Zn  0.0000  0.5000  0.0000
Y  0.5000  0.5000  0.5000

---

(6)
VASP calculation (PBE) on a geometry-optimized Mg3SbN structure.

Properties
* DFT total energy: -3.765 eV per atom
* formation energy (no corrections): -0.319 eV per atom

Cell: 4.2256 4.2256 13.4674 Å, 90.00 90.00 120.00°
Sites, in units of the cell vectors:
Sb  0.0000  0.0000  0.0000
Sb  0.0000  0.0000  0.5000
Mg  0.3333  0.6667  0.8987
Mg  0.6667  0.3333  0.3987
Mg  0.3333  0.6667  0.6013
Mg  0.6667  0.3333  0.1013
Mg  0.0000  0.0000  0.7500
Mg  0.0000  0.0000  0.2500
N  0.3333  0.6667  0.7500
N  0.6667  0.3333  0.2500

---

(7)
VASP calculation (PBE) on a geometry-optimized AlSi2TcC structure.

Properties
* DFT total energy: -4.467 eV per atom
* formation energy (no corrections): 2.368 eV per atom

Cell: 4.5648 4.6011 4.5648 Å, 90.00 90.00 90.00°
Sites, in units of the cell vectors:
Tc  0.0000  0.5000  0.0000
Si  0.0000  0.0000  0.5000
Si  0.5000  0.0000  0.0000
Al  0.0000  0.0000  0.0000
C  0.5000  0.5000  0.5000

---

(8)
VASP calculation (PBE) on a geometry-optimized Pd2I4Br structure.

Properties
* DFT total energy: -2.790 eV per atom
* formation energy (no corrections): -0.182 eV per atom

Cell: 7.6592 7.1877 10.6452 Å, 108.63 98.71 95.31°
Sites, in units of the cell vectors:
Pd  0.6251  0.8751  0.2501
Pd  0.1250  0.3750  0.7500
Pd  0.6250  0.3750  0.7499
Pd  0.6250  0.3750  0.2500
I  0.8128  0.1505  0.5921
I  0.7899  0.0849  0.1263
I  0.3700  0.0950  0.2373
I  0.9062  0.6513  0.8222
I  0.8801  0.6549  0.2628
I  0.4602  0.6651  0.3738
I  0.4371  0.5995  0.9078
I  0.3437  0.0987  0.6777
Br  0.1744  0.5016  0.5607
Br  0.0755  0.2483  0.9392

---

Q: Which DOS(E_F) values were calculated for the entries above? A: 1.326; 1.382; 0.409; 0.448; 0.503; 0.004; 0.664; 0.186, in states/eV/atom.
Q: Which spin magnetization values were calculated for the entries above? A: 0.00; 9.35; 0.00; 0.00; 0.00; 0.00; 1.07; 0.00, in μB per formula unit.